Compound: Ga2PtCl
Source: Alexandria via LeMat-Bulk
Functional: PBE
Structure: relaxed

Lattice parameters (Å, degrees): 3.6865 3.6865 7.8226 76.37 76.37 60.00
Element x y z (fractional)
Cl: 0.0000 0.0000 0.0000
Ga: 0.8946 0.8946 0.3162
Ga: 0.1054 0.1054 0.6838
Pt: 0.5000 0.5000 0.5000

Calculated values
M_tot: 0.00 μB per atom
Relative energy among the computed polymorphs: 0 meV/atom
Formation energy (no corrections): -227 kJ/mol of formula units
Fermi-level density of states: 1.013 states/eV/f.u.